Here is a geometry-optimized PmHoTh2P4 structure from the Alexandria database. Energies are from GGA-PBE.

Cell: 4.1128 7.0784 7.1253 Å, 70.34 90.00 90.00°
Closest atoms and distances in Å follow each position.
Fractional positions:
1 P 0.5000 0.2548 0.7446  2 Ho 2.87, 3 Th 2.90-2.93, 1 Pm 2.91
2 P 0.5000 0.7452 0.2554  2 Ho 2.87, 3 Th 2.90-2.93, 1 Pm 2.91
3 P 0.0000 0.2517 0.2531  1 Ho 2.87, 3 Th 2.90-2.93, 2 Pm 2.90
4 P 0.0000 0.7483 0.7469  1 Ho 2.87, 3 Th 2.90-2.93, 2 Pm 2.90
5 Th 0.5000 0.0000 0.5000  6 P 2.90
6 Th 0.0000 0.0000 0.0000  6 P 2.93
7 Pm 0.5000 0.5000 0.0000  6 P 2.90-2.91
8 Ho 0.0000 0.5000 0.5000  6 P 2.87

Values from the calculation:
- Formation enthalpy at 0 K: -1.57 eV/atom
- Calculated total energy: -0.268 Ha/atom
- Total magnetic moment: 0.0 μB per formula unit
- Symmetry: P2/m

***

Here is a geometry-optimized PmHoTm2P4 structure from the Alexandria database. Energies are from GGA-PBE.

Cell: 4.0073 6.9364 6.9338 Å, 109.48 90.00 90.00°
Closest atoms and distances in Å follow each position.
Fractional positions:
1 Tm 0.5000 0.0000 0.5000  6 P 2.79
2 Tm 0.0000 0.5000 0.5000  6 P 2.82
3 P 0.5000 0.7522 0.7447  3 Tm 2.79-2.82, 2 Ho 2.84, 1 Pm 2.87
4 P 0.0000 0.2433 0.7416  3 Tm 2.79-2.82, 1 Ho 2.84, 2 Pm 2.88
5 P 0.5000 0.2478 0.2553  3 Tm 2.79-2.82, 2 Ho 2.84, 1 Pm 2.87
6 P 0.0000 0.7567 0.2584  3 Tm 2.79-2.82, 1 Ho 2.84, 2 Pm 2.88
7 Pm 0.5000 0.5000 0.0000  6 P 2.87-2.88
8 Ho 0.0000 0.0000 0.0000  6 P 2.84

Values from the calculation:
- Formation enthalpy at 0 K: -1.59 eV/atom
- Calculated total energy: -0.242 Ha/atom
- Total magnetic moment: 0.0 μB per formula unit
- Symmetry: P2/m

***

Here is a geometry-optimized Pm2HoTmP4 structure from the Alexandria database. Energies are from GGA-PBE.

Cell: 4.0529 7.0164 7.0108 Å, 109.48 90.00 90.00°
Closest atoms and distances in Å follow each position.
Fractional positions:
1 Pm 0.5000 0.0000 0.5000  6 P 2.91
2 Pm 0.0000 0.5000 0.5000  6 P 2.90
3 P 0.5000 0.2479 0.2404  1 Tm 2.82, 2 Ho 2.83, 3 Pm 2.90-2.91
4 P 0.5000 0.7521 0.7596  1 Tm 2.82, 2 Ho 2.83, 3 Pm 2.90-2.91
5 P 0.0000 0.2545 0.7604  2 Tm 2.82, 1 Ho 2.83, 3 Pm 2.90-2.91
6 P 0.0000 0.7455 0.2396  2 Tm 2.82, 1 Ho 2.83, 3 Pm 2.90-2.91
7 Tm 0.5000 0.5000 0.0000  6 P 2.82
8 Ho 0.0000 0.0000 0.0000  6 P 2.83

Values from the calculation:
- Formation enthalpy at 0 K: -1.58 eV/atom
- Calculated total energy: -0.243 Ha/atom
- Total magnetic moment: 0.0 μB per formula unit
- Symmetry: P2/m

***

Here is a geometry-optimized PmHo2UP4 structure from the Alexandria database. Energies are from GGA-PBE.

Cell: 3.9950 6.9463 6.9254 Å, 109.24 90.00 90.00°
Closest atoms and distances in Å follow each position.
Fractional positions:
1 Pm 0.5000 0.5000 0.0000  6 P 2.86-2.87
2 P 0.5000 0.7572 0.7510  3 Ho 2.79-2.86, 2 U 2.81, 1 Pm 2.86
3 P 0.5000 0.2428 0.2490  3 Ho 2.79-2.86, 2 U 2.81, 1 Pm 2.86
4 P 0.0000 0.7605 0.2519  1 U 2.78, 3 Ho 2.80-2.88, 2 Pm 2.87
5 P 0.0000 0.2395 0.7481  1 U 2.78, 3 Ho 2.80-2.88, 2 Pm 2.87
6 U 0.0000 0.0000 0.0000  6 P 2.78-2.81
7 Ho 0.0000 0.5000 0.5000  6 P 2.86-2.88
8 Ho 0.5000 0.0000 0.5000  6 P 2.79-2.80

Values from the calculation:
- Formation enthalpy at 0 K: -1.43 eV/atom
- Calculated total energy: -0.268 Ha/atom
- Total magnetic moment: 2.1 μB per formula unit
- Symmetry: P2/m